# 1
SmHoTmTl | PBE | optimized geometry

a = 4.8227 Å, b = 4.8672 Å, c = 4.8792 Å
α = 90.00°, β = 90.00°, γ = 90.00°
Last column: nearest neighbours and their distance in Å.
Fractional positions:
Sm 0.0000 0.0000 0.0000  4 Ho 3.43, 4 Tm 3.43, 4 Tl 3.45
Ho 0.5000 0.5000 0.0000  4 Sm 3.43, 4 Tl 3.43, 4 Tm 3.45
Tm 0.5000 0.0000 0.5000  4 Tl 3.43, 4 Sm 3.43, 4 Ho 3.45
Tl 0.0000 0.5000 0.5000  4 Tm 3.43, 4 Ho 3.43, 4 Sm 3.45

Properties
* N(E_F): 1.280 states/eV per atom
* total energy: -16.84 eV per cell
* E_form: -176 meV/atom
* crystal system: orthorhombic
* space group: Pmmm (47)



# 2
Sm2HoTmTl4 | PBE | optimized geometry

a = 9.3619 Å, b = 9.3619 Å, c = 9.3619 Å
α = 33.48°, β = 33.48°, γ = 33.48°
Last column: nearest neighbours and their distance in Å.
Fractional positions:
Sm 0.2502 0.2502 0.2502  8 Tl 3.30-3.32
Sm 0.7498 0.7498 0.7498  8 Tl 3.30-3.32
Ho 0.5000 0.5000 0.5000  8 Tl 3.31-3.32
Tm 0.0000 0.0000 0.0000  8 Tl 3.30
Tl 0.1247 0.1247 0.1247  4 Sm 3.30-3.32, 1 Tm 3.30, 3 Ho 3.31
Tl 0.3747 0.3747 0.3747  4 Sm 3.30, 3 Tm 3.30, 1 Ho 3.32
Tl 0.6253 0.6253 0.6253  4 Sm 3.30, 3 Tm 3.30, 1 Ho 3.32
Tl 0.8753 0.8753 0.8753  4 Sm 3.30-3.32, 1 Tm 3.30, 3 Ho 3.31

Properties
* N(E_F): 0.784 states/eV per atom
* total energy: -30.69 eV per cell
* E_form: -342 meV/atom
* crystal system: trigonal
* space group: R-3m (166)



# 3
SmHoTmTl | PBE | optimized geometry

a = 5.4746 Å, b = 5.4746 Å, c = 5.4746 Å
α = 60.00°, β = 60.00°, γ = 60.00°
Last column: nearest neighbours and their distance in Å.
Fractional positions:
Sm 0.0000 0.0000 0.0000  4 Tl 3.35, 4 Tm 3.35
Ho 0.5000 0.5000 0.5000  4 Tl 3.35, 4 Tm 3.35
Tm 0.2500 0.2500 0.2500  4 Ho 3.35, 4 Sm 3.35
Tl 0.7500 0.7500 0.7500  4 Ho 3.35, 4 Sm 3.35

Properties
* N(E_F): 1.403 states/eV per atom
* total energy: -16.30 eV per cell
* E_form: -42 meV/atom
* crystal system: cubic
* space group: F-43m (216)



# 4
SmYHoTl | PBE | optimized geometry

a = 4.8442 Å, b = 4.8785 Å, c = 4.9247 Å
α = 90.00°, β = 90.00°, γ = 90.00°
Last column: nearest neighbours and their distance in Å.
Fractional positions:
Sm 0.0000 0.0000 0.0000  4 Ho 3.44, 4 Y 3.45, 4 Tl 3.47
Y 0.5000 0.0000 0.5000  4 Tl 3.44, 4 Sm 3.45, 4 Ho 3.47
Ho 0.5000 0.5000 0.0000  4 Sm 3.44, 4 Tl 3.45, 4 Y 3.47
Tl 0.0000 0.5000 0.5000  4 Y 3.44, 4 Ho 3.45, 4 Sm 3.47

Properties
* N(E_F): 1.211 states/eV per atom
* total energy: -18.88 eV per cell
* E_form: -188 meV/atom
* crystal system: orthorhombic
* space group: Pmmm (47)



# 5
SmYHoTl | PBE | optimized geometry

a = 5.5039 Å, b = 5.5039 Å, c = 5.5039 Å
α = 60.00°, β = 60.00°, γ = 60.00°
Last column: nearest neighbours and their distance in Å.
Fractional positions:
Sm 0.0000 0.0000 0.0000  4 Tl 3.37, 4 Ho 3.37
Y 0.5000 0.5000 0.5000  4 Ho 3.37, 4 Tl 3.37
Ho 0.7500 0.7500 0.7500  4 Sm 3.37, 4 Y 3.37
Tl 0.2500 0.2500 0.2500  4 Y 3.37, 4 Sm 3.37

Properties
* N(E_F): 1.260 states/eV per atom
* total energy: -18.34 eV per cell
* E_form: -53 meV/atom
* crystal system: cubic
* space group: F-43m (216)



# 6
Sm2YHoTl2 | PBE | optimized geometry

a = 5.1339 Å, b = 10.1016 Å, c = 6.8700 Å
α = 90.00°, β = 90.00°, γ = 90.00°
Last column: nearest neighbours and their distance in Å.
Fractional positions:
Sm 0.0000 0.0430 0.0000  5 Tl 3.27-3.59, 4 Sm 3.50-3.54
Sm 0.0000 0.9570 0.5000  5 Tl 3.27-3.59, 4 Sm 3.50-3.54
Sm 0.5000 0.1867 0.2753  4 Tl 3.25-3.32, 2 Sm 3.50
Sm 0.5000 0.8133 0.7753  4 Tl 3.25-3.32, 2 Sm 3.50
Y 0.5000 0.4575 0.9061  5 Tl 3.23-3.51, 2 Ho 3.53, 2 Y 3.54
Y 0.5000 0.5425 0.4061  5 Tl 3.23-3.51, 2 Ho 3.53, 2 Y 3.54
Ho 0.0000 0.3147 0.6237  4 Tl 3.17-3.22, 2 Y 3.53
Ho 0.0000 0.6853 0.1237  4 Tl 3.17-3.22, 2 Y 3.53
Tl 0.0000 0.3723 0.1631  2 Ho 3.17-3.22, 4 Y 3.23-3.51, 3 Sm 3.27-3.51
Tl 0.0000 0.6277 0.6631  2 Ho 3.17-3.22, 4 Y 3.23-3.51, 3 Sm 3.27-3.51
Tl 0.5000 0.1412 0.7437  2 Ho 3.22, 6 Sm 3.25-3.59, 1 Y 3.38
Tl 0.5000 0.8588 0.2437  2 Ho 3.22, 6 Sm 3.25-3.59, 1 Y 3.38

Properties
* N(E_F): 1.088 states/eV per atom
* total energy: -53.77 eV per cell
* E_form: -278 meV/atom
* crystal system: orthorhombic
* space group: Pmc2_1 (26)



# 7
SmYHo2Tl2 | PBE | optimized geometry

a = 5.1264 Å, b = 10.0191 Å, c = 6.8057 Å
α = 90.00°, β = 90.00°, γ = 90.00°
Last column: nearest neighbours and their distance in Å.
Fractional positions:
Sm 0.0000 0.0412 0.0000  5 Tl 3.25-3.54, 2 Sm 3.50, 2 Y 3.52
Sm 0.0000 0.9588 0.5000  5 Tl 3.25-3.54, 2 Sm 3.50, 2 Y 3.52
Y 0.5000 0.1903 0.7214  4 Tl 3.20-3.29, 2 Sm 3.52
Y 0.5000 0.8097 0.2214  4 Tl 3.20-3.29, 2 Sm 3.52
Ho 0.0000 0.3166 0.3725  4 Tl 3.18-3.23, 2 Ho 3.50
Ho 0.0000 0.6834 0.8725  4 Tl 3.18-3.23, 2 Ho 3.50
Ho 0.5000 0.4572 0.0899  5 Tl 3.22-3.53, 4 Ho 3.50-3.51
Ho 0.5000 0.5428 0.5899  5 Tl 3.22-3.53, 4 Ho 3.50-3.51
Tl 0.0000 0.3674 0.8365  6 Ho 3.18-3.53, 2 Y 3.21, 1 Sm 3.45
Tl 0.0000 0.6326 0.3365  6 Ho 3.18-3.53, 2 Y 3.21, 1 Sm 3.45
Tl 0.5000 0.1375 0.2576  2 Y 3.20-3.29, 3 Ho 3.23-3.40, 4 Sm 3.25-3.54
Tl 0.5000 0.8625 0.7576  2 Y 3.20-3.29, 3 Ho 3.23-3.40, 4 Sm 3.25-3.54

Properties
* N(E_F): 1.026 states/eV per atom
* total energy: -53.47 eV per cell
* E_form: -277 meV/atom
* crystal system: orthorhombic
* space group: Pmc2_1 (26)



# 8
SmHoTlZn | PBE | optimized geometry

a = 5.2717 Å, b = 5.2717 Å, c = 5.2717 Å
α = 60.00°, β = 60.00°, γ = 60.00°
Last column: nearest neighbours and their distance in Å.
Fractional positions:
Sm 0.0000 0.0000 0.0000  4 Zn 3.23, 4 Tl 3.23
Ho 0.5000 0.5000 0.5000  4 Zn 3.23, 4 Tl 3.23
Tl 0.2500 0.2500 0.2500  4 Ho 3.23, 4 Sm 3.23
Zn 0.7500 0.7500 0.7500  4 Sm 3.23, 4 Ho 3.23

Properties
* N(E_F): 1.090 states/eV per atom
* total energy: -14.23 eV per cell
* E_form: -324 meV/atom
* crystal system: cubic
* space group: F-43m (216)